No. 1
Crystalline AlZn3Cu6 at its relaxed geometry. Source: Alexandria, functional PBE-GGA.

abc: 7.9636 3.8862 8.3281
angles: 90.00 94.03 90.00
Space group P2_1/m (No. 11)
Asymmetric unit:
Al 0.0548 0.2500 0.3893
Zn 0.2469 0.2500 0.0034
Zn 0.3489 0.7500 0.8008
Zn 0.4516 0.2500 0.6012
Cu 0.0505 0.7500 0.9027
Cu 0.1461 0.2500 0.6968
Cu 0.1505 0.7500 0.2005
Cu 0.2454 0.7500 0.4996
Cu 0.3511 0.2500 0.2992
Cu 0.4488 0.7500 0.0993

Relative energy among the computed polymorphs (meV/atom): 0
Formation energy (kJ per mole of atoms): -11.2
Crystal system: monoclinic
Electronic total energy (eV per cell): -66.60



No. 2
Crystalline NdErGa5Pt2 at its relaxed geometry. Source: Alexandria, functional PBE-GGA.

abc: 4.6971 4.6971 9.5007
angles: 90.00 90.00 90.00
Space group P4/mmm (No. 123)
Asymmetric unit:
Nd 0.0000 0.0000 0.0000
Er 0.0000 0.0000 0.5000
Ga 0.0000 0.5000 0.3084
Ga 0.5000 0.5000 0.0000
Pt 0.5000 0.5000 0.2429

Formation energy (kJ per mole of atoms): -36.4
Crystal system: tetragonal
Electronic total energy (eV per cell): -39.95



No. 3
Crystalline CaNbGa2Pt at its relaxed geometry. Source: Alexandria, functional PBE-GGA.

abc: 5.0455 5.0455 4.9112
angles: 90.00 90.00 90.00
Space group P4/mmm (No. 123)
Asymmetric unit:
Ca 0.0000 0.0000 0.0000
Nb 0.5000 0.5000 0.5000
Ga 0.0000 0.5000 0.5000
Pt 0.5000 0.5000 0.0000

Formation energy (kJ per mole of atoms): 1.2
Crystal system: tetragonal
Electronic total energy (eV per cell): -24.11



No. 4
Crystalline BaSr2CdNi at its relaxed geometry. Source: Alexandria, functional PBE-GGA.

abc: 5.8170 5.8170 5.3449
angles: 90.00 90.00 90.00
Space group P4/mmm (No. 123)
Asymmetric unit:
Ba 0.0000 0.0000 0.0000
Sr 0.0000 0.5000 0.5000
Cd 0.5000 0.5000 0.0000
Ni 0.5000 0.5000 0.5000

Relative energy among the computed polymorphs (meV/atom): 26
Formation energy (kJ per mole of atoms): -0.9
Crystal system: tetragonal
Electronic total energy (eV per cell): -12.03



No. 5
Crystalline LiVSe3 at its relaxed geometry. Source: Alexandria, functional PBE-GGA.

abc: 6.0131 6.6688 6.7886
angles: 60.75 76.79 89.40
Space group P1 (No. 1)
Asymmetric unit:
Li 0.0000 0.0000 0.0000
Li 0.3750 0.7170 0.5959
V 0.4699 0.3791 0.2895
V 0.9640 0.3768 0.2964
Se 0.1503 0.3732 0.5930
Se 0.2330 0.0949 0.2752
Se 0.2916 0.6828 0.0069
Se 0.6505 0.3885 0.5830
Se 0.7224 0.0703 0.3167
Se 0.8012 0.6540 0.9821

Formation energy from raw total energies (eV/atom): -0.74
Relative energy among the computed polymorphs (meV/atom): 3
Crystal system: triclinic
Electronic total energy (eV per cell): -50.37



No. 6
Crystalline CoRhAu2 at its relaxed geometry. Source: Alexandria, functional PBE-GGA.

abc: 2.8400 3.6195 6.0725
angles: 90.00 90.16 90.00
Space group Pm (No. 6)
Asymmetric unit:
Co 0.0000 0.0000 0.0000
Rh 0.4991 0.5000 0.8096
Au 0.4987 0.5000 0.2575
Au 0.9985 0.0000 0.5414

Relative energy among the computed polymorphs (meV/atom): 55
Formation energy (kJ per mole of atoms): 14.9
Crystal system: monoclinic
Electronic total energy (eV per cell): -20.39